A PBEsol-optimized structure of ZrInP2S, computed with meta-GGA SCAN.

It has space group P4/mmm (No. 123), with a = 4.811 Å, b = 4.811 Å, c = 4.825 Å, α = 90.00°, β = 90.00° and γ = 90.00°. The distinct sites, in fractional coordinates, are Zr at (0.000, 0.000, 0.000), In at (0.500, 0.500, 0.500), P at (0.000, 0.500, 0.500) and S at (0.500, 0.500, 0.000).

As for the energy relative to the elements, uncorrected: 0.700 eV per atom. The density of states at the Fermi level is 0.5429 states/eV/atom.



A PBEsol-optimized structure of Fe2PbW, computed with meta-GGA SCAN.

It has space group Cmmm (No. 65), with a = 3.303 Å, b = 4.609 Å, c = 8.298 Å, α = 90.00°, β = 90.00° and γ = 90.00°. The distinct sites, in fractional coordinates, are Fe at (0.000, 0.000, 0.227), Pb at (0.000, 0.500, 0.500) and W at (0.000, 0.500, 0.000).

The formation energy is 0.627 eV/atom. The density of states at the Fermi level is 0.7229 states/eV/atom.



A PBEsol-optimized structure of Zn2IrPb, computed with meta-GGA SCAN.

It has space group Amm2 (No. 38), with a = 4.189 Å, b = 3.212 Å, c = 10.371 Å, α = 90.00°, β = 90.00° and γ = 90.00°. The distinct sites, in fractional coordinates, are Zn at (0.000, 0.000, 0.000), Zn at (0.500, 0.000, 0.430), Ir at (0.500, 0.000, 0.135) and Pb at (0.000, 0.000, 0.744).

The formation energy is 0.154 eV/atom. The density of states at the Fermi level is 0.3779 states/eV/atom.



A PBEsol-optimized structure of BaZnSN2, computed with meta-GGA SCAN.

It has space group P4/mmm (No. 123), with a = 4.282 Å, b = 4.282 Å, c = 4.731 Å, α = 90.00°, β = 90.00° and γ = 90.00°. The distinct sites, in fractional coordinates, are Ba at (0.000, 0.000, 0.000), Zn at (0.500, 0.500, 0.500), S at (0.500, 0.500, 0.000) and N at (0.000, 0.500, 0.500).

As for the energy relative to the elements, uncorrected: 0.253 eV per atom. The density of states at the Fermi level is 0.2619 states/eV/atom.



Number 1: total moment 0.00 μB per formula unit. Number 2: total moment 5.14 μB per formula unit. Number 3: total moment 0.00 μB per formula unit. Number 4: total moment 3.96 μB per formula unit.